Record 1
This record from the Open Quantum Materials Database describes DySc after structural relaxation. The functional is PBE-GGA.

Cell: 4.0099 4.0099 7.7691 Å, 90.00 90.00 120.00°
Positions (direct):
1 Dy 0.3333 0.6667 0.2500
2 Dy 0.6667 0.3333 0.7500
3 Sc 0.0000 0.0000 0.0000
4 Sc 0.0000 0.0000 0.5000

* polymorph energy (0 for the lowest one): 1.01 eV per formula unit
* ΔE_f: 0.55 eV per atom
* total moment: 0.0 μB/f.u.



Record 2
This record from the Open Quantum Materials Database describes Cd2SnIr after structural relaxation. The functional is PBE-GGA.

Cell: 6.7919 6.7919 6.7919 Å, 90.00 90.00 90.00°
Positions (direct):
1 Cd 0.0000 0.0000 0.0000
2 Cd 0.0000 0.5000 0.5000
3 Cd 0.2500 0.2500 0.2500
4 Cd 0.2500 0.7500 0.7500
5 Cd 0.5000 0.0000 0.5000
6 Cd 0.5000 0.5000 0.0000
7 Cd 0.7500 0.2500 0.7500
8 Cd 0.7500 0.7500 0.2500
9 Sn 0.0000 0.0000 0.5000
10 Sn 0.0000 0.5000 0.0000
11 Sn 0.5000 0.0000 0.0000
12 Sn 0.5000 0.5000 0.5000
13 Ir 0.2500 0.2500 0.7500
14 Ir 0.2500 0.7500 0.2500
15 Ir 0.7500 0.2500 0.2500
16 Ir 0.7500 0.7500 0.7500

* total moment: 0.0 μB/f.u.
* E: -3.476 eV per atom



Record 3
This record from the Open Quantum Materials Database describes Sc4CoSnN2 after structural relaxation. The functional is PBE-GGA.

Cell: 3.2216 3.2216 13.7501 Å, 90.00 90.00 120.00°
Positions (direct):
1 Sc 0.0000 0.0000 0.1370
2 Sc 0.0000 0.0000 0.8630
3 Sc 0.6667 0.3333 0.3198
4 Sc 0.6667 0.3333 0.6802
5 Co 0.6667 0.3333 0.0000
6 Sn 0.0000 0.0000 0.5000
7 N 0.3333 0.6667 0.2395
8 N 0.3333 0.6667 0.7605

* total moment: 0.3 μB/f.u.
* E: -7.703 eV per atom



Record 4
This record from the Open Quantum Materials Database describes Pr2Ga5Ir3 after structural relaxation. The functional is PBE-GGA.

Cell: 8.6708 8.6708 8.6708 Å, 108.40 84.88 140.68°
Positions (direct):
1 Pr 0.1368 0.2288 0.3657
2 Pr 0.3632 0.7288 0.0920
3 Pr 0.6368 0.2712 0.9080
4 Pr 0.8632 0.7712 0.6343
5 Ga 0.0425 0.7500 0.2925
6 Ga 0.0911 0.6697 0.7608
7 Ga 0.2500 0.2500 0.0000
8 Ga 0.4089 0.1697 0.5787
9 Ga 0.4575 0.7500 0.7075
10 Ga 0.5425 0.2500 0.2925
11 Ga 0.5911 0.8303 0.4213
12 Ga 0.7500 0.7500 0.0000
13 Ga 0.9089 0.3303 0.2392
14 Ga 0.9575 0.2500 0.7075
15 Ir 0.1477 0.9039 0.0515
16 Ir 0.2500 0.7500 0.5000
17 Ir 0.3523 0.4039 0.7562
18 Ir 0.6477 0.5961 0.2438
19 Ir 0.7500 0.2500 0.5000
20 Ir 0.8523 0.0961 0.9485

* total moment: 0.0 μB/f.u.
* E: -5.864 eV per atom



Record 5
This record from the Open Quantum Materials Database describes La3Ag4Pb4 after structural relaxation. The functional is PBE-GGA.

Cell: 9.1776 9.1776 9.1776 Å, 149.54 131.42 58.43°
Positions (direct):
1 La 0.0000 0.0000 0.0000
2 La 0.3695 0.8695 0.5000
3 La 0.6305 0.1305 0.5000
4 Ag 0.0233 0.3303 0.6930
5 Ag 0.3627 0.6697 0.6930
6 Ag 0.6373 0.3303 0.3070
7 Ag 0.9767 0.6697 0.3070
8 Pb 0.2160 0.2160 0.0000
9 Pb 0.3012 0.5000 0.8012
10 Pb 0.6988 0.5000 0.1988
11 Pb 0.7840 0.7840 0.0000

* total moment: 0.0 μB/f.u.
* E: -4.131 eV per atom



Record 6
This record from the Open Quantum Materials Database describes RbAlBAu after structural relaxation. The functional is PBE-GGA.

Cell: 7.0160 7.0160 7.0160 Å, 90.00 90.00 90.00°
Positions (direct):
1 Rb 0.0000 0.0000 0.0000
2 Rb 0.0000 0.5000 0.5000
3 Rb 0.5000 0.0000 0.5000
4 Rb 0.5000 0.5000 0.0000
5 Al 0.2500 0.2500 0.2500
6 Al 0.2500 0.7500 0.7500
7 Al 0.7500 0.2500 0.7500
8 Al 0.7500 0.7500 0.2500
9 B 0.0000 0.0000 0.5000
10 B 0.0000 0.5000 0.0000
11 B 0.5000 0.0000 0.0000
12 B 0.5000 0.5000 0.5000
13 Au 0.2500 0.2500 0.7500
14 Au 0.2500 0.7500 0.2500
15 Au 0.7500 0.2500 0.2500
16 Au 0.7500 0.7500 0.7500

* polymorph energy (0 for the lowest one): 0.78 eV per formula unit



Record 7
This record from the Open Quantum Materials Database describes YCoNiBi after structural relaxation. The functional is PBE-GGA.

Cell: 6.7545 6.7545 6.7545 Å, 90.00 90.00 90.00°
Positions (direct):
1 Y 0.0000 0.0000 0.0000
2 Y 0.0000 0.5000 0.5000
3 Y 0.5000 0.0000 0.5000
4 Y 0.5000 0.5000 0.0000
5 Co 0.0000 0.0000 0.5000
6 Co 0.0000 0.5000 0.0000
7 Co 0.5000 0.0000 0.0000
8 Co 0.5000 0.5000 0.5000
9 Ni 0.2500 0.2500 0.7500
10 Ni 0.2500 0.7500 0.2500
11 Ni 0.7500 0.2500 0.2500
12 Ni 0.7500 0.7500 0.7500
13 Bi 0.2500 0.2500 0.2500
14 Bi 0.2500 0.7500 0.7500
15 Bi 0.7500 0.2500 0.7500
16 Bi 0.7500 0.7500 0.2500

* polymorph energy (0 for the lowest one): 1.10 eV per formula unit
* total moment: 1.5 μB/f.u.



Record 8
This record from the Open Quantum Materials Database describes KTcPO after structural relaxation. The functional is PBE-GGA.

Cell: 3.2279 6.9316 7.2457 Å, 90.00 90.00 90.00°
Positions (direct):
1 K 0.0000 0.1824 0.0000
2 K 0.0000 0.8176 0.5000
3 Tc 0.5000 0.3268 0.4181
4 Tc 0.5000 0.6732 0.9181
5 P 0.5000 0.4480 0.7029
6 P 0.5000 0.5520 0.2029
7 O 0.0000 0.1689 0.3763
8 O 0.0000 0.8311 0.8763

* polymorph energy (0 for the lowest one): 0.10 eV per formula unit
* total moment: 0.0 μB/f.u.



Record 9
This record from the Open Quantum Materials Database describes NdPaCd after structural relaxation. The functional is PBE-GGA.

Cell: 7.1912 7.1912 7.1912 Å, 90.00 90.00 90.00°
Positions (direct):
1 Nd 0.0000 0.0000 0.0000
2 Nd 0.0000 0.5000 0.5000
3 Nd 0.5000 0.0000 0.5000
4 Nd 0.5000 0.5000 0.0000
5 Pa 0.2500 0.2500 0.7500
6 Pa 0.2500 0.7500 0.2500
7 Pa 0.7500 0.2500 0.2500
8 Pa 0.7500 0.7500 0.7500
9 Cd 0.0000 0.0000 0.5000
10 Cd 0.0000 0.5000 0.0000
11 Cd 0.5000 0.0000 0.0000
12 Cd 0.5000 0.5000 0.5000

* polymorph energy (0 for the lowest one): 0.00 eV per formula unit
* ΔE_f: 0.85 eV per atom
* total moment: 2.0 μB/f.u.



Record 10
This record from the Open Quantum Materials Database describes Zr2FeH5 after structural relaxation. The functional is PBE-GGA.

Cell: 6.8754 6.8754 5.5986 Å, 90.00 90.00 90.00°
Positions (direct):
1 Zr 0.0885 0.5885 0.2500
2 Zr 0.0885 0.9115 0.7500
3 Zr 0.4115 0.5885 0.7500
4 Zr 0.4115 0.9115 0.2500
5 Zr 0.5885 0.0885 0.7500
6 Zr 0.5885 0.4115 0.2500
7 Zr 0.9115 0.0885 0.2500
8 Zr 0.9115 0.4115 0.7500
9 Fe 0.2500 0.2500 0.0091
10 Fe 0.2500 0.2500 0.5091
11 Fe 0.7500 0.7500 0.4909
12 Fe 0.7500 0.7500 0.9909
13 H 0.0363 0.1673 0.5729
14 H 0.0363 0.3327 0.0729
15 H 0.1673 0.0363 0.0729
16 H 0.1673 0.4637 0.5729
17 H 0.2500 0.7500 0.0000
18 H 0.2500 0.7500 0.5000
19 H 0.3327 0.0363 0.5729
20 H 0.3327 0.4637 0.0729
21 H 0.4637 0.1673 0.0729
22 H 0.4637 0.3327 0.5729
23 H 0.5363 0.6673 0.4271
24 H 0.5363 0.8327 0.9271
25 H 0.6673 0.5363 0.9271
26 H 0.6673 0.9637 0.4271
27 H 0.7500 0.2500 0.0000
28 H 0.7500 0.2500 0.5000
29 H 0.8327 0.5363 0.4271
30 H 0.8327 0.9637 0.9271
31 H 0.9637 0.6673 0.9271
32 H 0.9637 0.8327 0.4271

* total moment: 0.0 μB/f.u.
* E: -5.696 eV per atom



Record 11
This record from the Open Quantum Materials Database describes LuThMg after structural relaxation. The functional is PBE-GGA.

Cell: 7.3325 7.3325 7.3325 Å, 90.00 90.00 90.00°
Positions (direct):
1 Lu 0.0000 0.0000 0.0000
2 Lu 0.0000 0.5000 0.5000
3 Lu 0.5000 0.0000 0.5000
4 Lu 0.5000 0.5000 0.0000
5 Th 0.0000 0.0000 0.5000
6 Th 0.0000 0.5000 0.0000
7 Th 0.5000 0.0000 0.0000
8 Th 0.5000 0.5000 0.5000
9 Mg 0.2500 0.2500 0.2500
10 Mg 0.2500 0.7500 0.7500
11 Mg 0.7500 0.2500 0.7500
12 Mg 0.7500 0.7500 0.2500

* polymorph energy (0 for the lowest one): 0.00 eV per formula unit
* total moment: 0.2 μB/f.u.



Record 12
This record from the Open Quantum Materials Database describes Nd5Ga3 after structural relaxation. The functional is PBE-GGA.

Cell: 9.1844 9.1844 9.1844 Å, 129.43 129.43 74.32°
Positions (direct):
1 Nd 0.0000 0.0000 0.0000
2 Nd 0.0238 0.5238 0.8462
3 Nd 0.1776 0.0238 0.5000
4 Nd 0.3224 0.8224 0.8462
5 Nd 0.4762 0.3224 0.5000
6 Nd 0.5000 0.5000 0.0000
7 Nd 0.5238 0.6776 0.5000
8 Nd 0.6776 0.1776 0.1538
9 Nd 0.8224 0.9762 0.5000
10 Nd 0.9762 0.4762 0.1538
11 Ga 0.1173 0.3827 0.5000
12 Ga 0.2500 0.2500 0.0000
13 Ga 0.3827 0.8827 0.2654
14 Ga 0.6173 0.1173 0.7346
15 Ga 0.7500 0.7500 0.0000
16 Ga 0.8827 0.6173 0.5000

* total moment: 0.0 μB/f.u.
* E: -4.557 eV per atom



Record 13
This record from the Open Quantum Materials Database describes DyCuSbAs after structural relaxation. The functional is PBE-GGA.

Cell: 4.1158 4.1158 9.8386 Å, 90.00 90.00 90.00°
Positions (direct):
1 Dy 0.2500 0.2500 0.2425
2 Dy 0.7500 0.7500 0.7575
3 Cu 0.2500 0.7500 0.0000
4 Cu 0.7500 0.2500 0.0000
5 Sb 0.2500 0.7500 0.5000
6 Sb 0.7500 0.2500 0.5000
7 As 0.2500 0.2500 0.8436
8 As 0.7500 0.7500 0.1564

* polymorph energy (0 for the lowest one): 0.00 eV per formula unit
* total moment: 0.0 μB/f.u.



Record 14
This record from the Open Quantum Materials Database describes ReAsNO after structural relaxation. The functional is PBE-GGA.

Cell: 4.1951 4.1951 5.4117 Å, 90.00 90.00 90.00°
Positions (direct):
1 Re 0.2500 0.2500 0.0460
2 Re 0.7500 0.7500 0.9540
3 As 0.2500 0.7500 0.5000
4 As 0.7500 0.2500 0.5000
5 N 0.2500 0.2500 0.6996
6 N 0.7500 0.7500 0.3004
7 O 0.2500 0.7500 0.0000
8 O 0.7500 0.2500 0.0000

* polymorph energy (0 for the lowest one): 3.36 eV per formula unit
* total moment: 0.0 μB/f.u.



Record 15
This record from the Open Quantum Materials Database describes TeAs2Ir after structural relaxation. The functional is PBE-GGA.

Cell: 6.7015 6.7015 6.7015 Å, 90.00 90.00 90.00°
Positions (direct):
1 Te 0.0000 0.0000 0.0000
2 Te 0.0000 0.5000 0.5000
3 Te 0.5000 0.0000 0.5000
4 Te 0.5000 0.5000 0.0000
5 As 0.0000 0.0000 0.5000
6 As 0.0000 0.5000 0.0000
7 As 0.2500 0.2500 0.7500
8 As 0.2500 0.7500 0.2500
9 As 0.5000 0.0000 0.0000
10 As 0.5000 0.5000 0.5000
11 As 0.7500 0.2500 0.2500
12 As 0.7500 0.7500 0.7500
13 Ir 0.2500 0.2500 0.2500
14 Ir 0.2500 0.7500 0.7500
15 Ir 0.7500 0.2500 0.7500
16 Ir 0.7500 0.7500 0.2500

* total moment: 0.0 μB/f.u.
* E: -4.823 eV per atom



Record 16
This record from the Open Quantum Materials Database describes CoTcSnHg after structural relaxation. The functional is PBE-GGA.

Cell: 6.4175 6.4175 6.4175 Å, 90.00 90.00 90.00°
Positions (direct):
1 Co 0.0000 0.0000 0.0000
2 Co 0.0000 0.5000 0.5000
3 Co 0.5000 0.0000 0.5000
4 Co 0.5000 0.5000 0.0000
5 Tc 0.0000 0.0000 0.5000
6 Tc 0.0000 0.5000 0.0000
7 Tc 0.5000 0.0000 0.0000
8 Tc 0.5000 0.5000 0.5000
9 Sn 0.2500 0.2500 0.7500
10 Sn 0.2500 0.7500 0.2500
11 Sn 0.7500 0.2500 0.2500
12 Sn 0.7500 0.7500 0.7500
13 Hg 0.2500 0.2500 0.2500
14 Hg 0.2500 0.7500 0.7500
15 Hg 0.7500 0.2500 0.7500
16 Hg 0.7500 0.7500 0.2500

* polymorph energy (0 for the lowest one): 0.00 eV per formula unit
* total moment: 0.9 μB/f.u.



Record 17
This record from the Open Quantum Materials Database describes ErTmFe2 after structural relaxation. The functional is PBE-GGA.

Cell: 3.7917 7.6811 5.3983 Å, 90.00 90.00 90.00°
Positions (direct):
1 Er 0.0000 0.0735 0.0000
2 Er 0.5000 0.9265 0.5000
3 Tm 0.0000 0.5717 0.2924
4 Tm 0.5000 0.4283 0.7924
5 Fe 0.0000 0.2252 0.4753
6 Fe 0.0000 0.7238 0.8199
7 Fe 0.5000 0.2762 0.3199
8 Fe 0.5000 0.7748 0.9753

* ΔE_f: -0.06 eV per atom
* total moment: 0.0 μB/f.u.



Record 18
This record from the Open Quantum Materials Database describes LiZnSb after structural relaxation. The functional is PBE-GGA.

Cell: 4.6196 4.6196 6.1838 Å, 90.00 90.00 120.00°
Positions (direct):
1 Li 0.3333 0.6667 0.2500
2 Li 0.6667 0.3333 0.7500
3 Zn 0.0000 0.0000 0.0000
4 Zn 0.0000 0.0000 0.5000
5 Sb 0.3333 0.6667 0.7500
6 Sb 0.6667 0.3333 0.2500

* E: -2.559 eV per atom



Record 19
This record from the Open Quantum Materials Database describes Gd2HoCdIn2 after structural relaxation. The functional is PBE-GGA.

Cell: 5.1525 5.1525 7.1040 Å, 90.00 90.00 120.00°
Positions (direct):
1 Gd 0.0000 0.0000 0.2455
2 Gd 0.0000 0.0000 0.7545
3 Ho 0.3333 0.6667 0.5000
4 Cd 0.6667 0.3333 0.0000
5 In 0.3333 0.6667 0.0000
6 In 0.6667 0.3333 0.5000

* total moment: 0.0 μB/f.u.
* E: -3.708 eV per atom



Record 20
This record from the Open Quantum Materials Database describes ErTm2Lu4Ni2Te2 after structural relaxation. The functional is PBE-GGA.

Cell: 9.1666 9.1666 9.1666 Å, 156.04 67.23 118.25°
Positions (direct):
1 Er 0.0000 0.0000 0.0000
2 Tm 0.4468 0.5817 0.8652
3 Tm 0.7165 0.5817 0.1348
4 Lu 0.0618 0.3763 0.6855
5 Lu 0.0817 0.7284 0.3533
6 Lu 0.3751 0.7284 0.6467
7 Lu 0.6907 0.3763 0.3145
8 Ni 0.3048 0.0687 0.2361
9 Ni 0.8326 0.0687 0.7639
10 Te 0.3383 0.3383 0.0000
11 Te 0.7330 0.2330 0.5000

* polymorph energy (0 for the lowest one): 0.02 eV per formula unit
* total moment: 0.0 μB/f.u.



Record 21
This record from the Open Quantum Materials Database describes ScNbN2O after structural relaxation. The functional is PBE-GGA.

Cell: 3.9509 3.4914 5.1463 Å, 90.00 103.88 90.00°
Positions (direct):
1 Sc 0.0000 0.0000 0.0000
2 Nb 0.6517 0.5000 0.3808
3 N 0.1092 0.5000 0.2801
4 N 0.8003 0.5000 0.7487
5 O 0.5601 0.0000 0.1644

* total moment: 0.0 μB/f.u.
* E: -9.210 eV per atom



Record 22
This record from the Open Quantum Materials Database describes AsAuSO after structural relaxation. The functional is PBE-GGA.

Cell: 6.2704 8.1337 5.8332 Å, 90.00 90.00 90.00°
Positions (direct):
1 As 0.0995 0.2368 0.0000
2 As 0.4005 0.2368 0.5000
3 As 0.5995 0.7632 0.0000
4 As 0.9005 0.7632 0.5000
5 Au 0.1464 0.8339 0.0047
6 Au 0.3536 0.8339 0.5047
7 Au 0.6464 0.1661 0.0047
8 Au 0.8536 0.1661 0.5047
9 S 0.0676 0.3787 0.6406
10 S 0.4324 0.3787 0.1406
11 S 0.5676 0.6213 0.6406
12 S 0.9324 0.6213 0.1406
13 O 0.2322 0.0682 0.8757
14 O 0.2678 0.0682 0.3757
15 O 0.7322 0.9318 0.8757
16 O 0.7678 0.9318 0.3757

* polymorph energy (0 for the lowest one): 0.94 eV per formula unit



Record 23
This record from the Open Quantum Materials Database describes CsHoTmSe3 after structural relaxation. The functional is PBE-GGA.

Cell: 8.5168 8.5168 11.0689 Å, 90.00 90.00 149.52°
Positions (direct):
1 Cs 0.2393 0.7607 0.7500
2 Cs 0.7607 0.2393 0.2500
3 Ho 0.0330 0.9670 0.2500
4 Ho 0.9670 0.0330 0.7500
5 Tm 0.5000 0.5000 0.0000
6 Tm 0.5000 0.5000 0.5000
7 Se 0.1144 0.8856 0.0392
8 Se 0.1144 0.8856 0.4608
9 Se 0.4407 0.5593 0.2500
10 Se 0.5593 0.4407 0.7500
11 Se 0.8856 0.1144 0.5392
12 Se 0.8856 0.1144 0.9608

* polymorph energy (0 for the lowest one): 0.12 eV per formula unit
* total moment: 0.1 μB/f.u.



Record 24
This record from the Open Quantum Materials Database describes Rb2Cd2SbP after structural relaxation. The functional is PBE-GGA.

Cell: 4.6833 4.6833 10.7764 Å, 90.00 90.00 120.00°
Positions (direct):
1 Rb 0.0000 0.0000 0.2396
2 Rb 0.0000 0.0000 0.7604
3 Cd 0.3333 0.6667 0.5000
4 Cd 0.6667 0.3333 0.0000
5 Sb 0.6667 0.3333 0.5000
6 P 0.3333 0.6667 0.0000

* E: -2.534 eV per atom



Number 1: mass density 6.37 g/cm3. Number 2: mass density 11.36 g/cm3. Number 3: mass density 5.18 g/cm3. Number 4: mass density 10.59 g/cm3. Number 5: mass density 9.55 g/cm3. Number 6: mass density 6.16 g/cm3. Number 7: mass density 8.96 g/cm3. Number 8: mass density 3.77 g/cm3. Number 9: mass density 8.71 g/cm3. Number 10: mass density 6.11 g/cm3. Number 11: mass density 7.27 g/cm3. Number 12: mass density 6.86 g/cm3. Number 13: mass density 8.42 g/cm3. Number 14: mass density 10.15 g/cm3. Number 15: mass density 10.37 g/cm3. Number 16: mass density 11.97 g/cm3. Number 17: mass density 9.46 g/cm3. Number 18: mass density 5.64 g/cm3. Number 19: mass density 8.35 g/cm3. Number 20: mass density 9.58 g/cm3. Number 21: mass density 4.38 g/cm3. Number 22: mass density 7.14 g/cm3. Number 23: mass density 5.74 g/cm3. Number 24: mass density 4.45 g/cm3.